Record 1
KLi2PrBr6 | PBE | relaxed

Its total moment is 0.0 μB per formula unit. For the density, the calculation gives 3.56 g cm⁻³. The calculation puts the uncorrected formation energy at -1.69 eV per atom.

The space group is R3 (No. 146, hexagonal axes) and the conventional cell measures 7.3749, 7.3749 and 19.9931 Å, with angles of 90.00, 90.00 and 120.00 degrees. The distinct sites, in fractional coordinates, are K at (0.0000, 0.0000, 0.0000), Li at (0.0000, 0.0000, 0.2838), Li at (0.0000, 0.0000, 0.7896), Pr at (0.0000, 0.0000, 0.4829), Br at (0.0070, 0.5884, 0.0499) and Br at (0.0262, 0.3344, 0.8790).



Record 2
K2LiPtBr6 | PBE | relaxed

Its total moment is 0.0 μB per formula unit. For the density, the calculation gives 4.17 g cm⁻³. The calculation puts the uncorrected formation energy at -1.05 eV per atom.

The space group is R-3m (No. 166, hexagonal axes) and the conventional cell measures 7.3685, 7.3685 and 38.6039 Å, with angles of 90.00, 90.00 and 120.00 degrees. The distinct sites, in fractional coordinates, are K at (0.0000, 0.0000, 0.1204), K at (0.0000, 0.0000, 0.3023), Li at (0.0000, 0.0000, 0.4208), Pt at (0.0000, 0.0000, 0.0000), Pt at (0.0000, 0.0000, 0.5000), Br at (0.0035, 0.5018, 0.1281) and Br at (0.0039, 0.5020, 0.7056).



Record 3
KLi4Pu3Br12 | PBE | relaxed

Its total moment is 17.0 μB per formula unit. For the density, the calculation gives 3.97 g cm⁻³. The calculation puts the uncorrected formation energy at -1.49 eV per atom.

The space group is R32 (No. 155, hexagonal axes) and the conventional cell measures 15.4777, 15.4777 and 10.6374 Å, with angles of 90.00, 90.00 and 120.00 degrees. The distinct sites, in fractional coordinates, are K at (0.0000, 0.0000, 0.0000), Li at (0.0000, 0.0000, 0.5000), Li at (0.0000, 0.4320, 0.5000), Pu at (0.0000, 0.5604, 0.0000), Br at (0.0000, 0.5940, 0.5000), Br at (0.0000, 0.8426, 0.5000) and Br at (0.0487, 0.2134, 0.1793).



Record 4
K2LiPuBr5 | PBE | relaxed

Its total moment is 6.0 μB per formula unit. For the density, the calculation gives 4.00 g cm⁻³. The calculation puts the uncorrected formation energy at -1.58 eV per atom.

The space group is Cmc2_1 (No. 36) and the conventional cell measures 4.3948, 19.2096 and 14.3309 Å, with angles of 90.00, 90.00 and 90.00 degrees. The distinct sites, in fractional coordinates, are K at (0.0000, 0.0979, 0.0000), K at (0.0000, 0.1249, 0.6547), Li at (0.0000, 0.4440, 0.7594), Pu at (0.0000, 0.2052, 0.3573), Br at (0.0000, 0.0483, 0.3513), Br at (0.0000, 0.2856, 0.0003), Br at (0.0000, 0.3091, 0.7137), Br at (0.0000, 0.3585, 0.3330) and Br at (0.0000, 0.4983, 0.1054).



Record 5
KLi2PuBr8 | PBE | relaxed

Its total moment is 3.0 μB per formula unit. For the density, the calculation gives 3.64 g cm⁻³. The calculation puts the uncorrected formation energy at -1.27 eV per atom.

The space group is P-1 (No. 2) and the conventional cell measures 6.6470, 6.8785 and 9.5285 Å, with angles of 89.69, 89.64 and 78.89 degrees. The distinct sites, in fractional coordinates, are K at (0.0000, 0.0000, 0.0000), Li at (0.4986, 0.4997, 0.1664), Pu at (0.0000, 0.0000, 0.5000), Br at (0.2206, 0.2820, 0.5001), Br at (0.2497, 0.8018, 0.7047), Br at (0.2528, 0.8051, 0.2948) and Br at (0.3042, 0.3299, 0.0005).



Record 6
KLiPu2Br8 | PBE | relaxed

Its total moment is 10.0 μB per formula unit. For the density, the calculation gives 4.46 g cm⁻³. The calculation puts the uncorrected formation energy at -1.53 eV per atom.

The space group is P2/m (No. 10) and the conventional cell measures 6.9378, 8.8667 and 7.1463 Å, with angles of 90.00, 96.36 and 90.00 degrees. The distinct sites, in fractional coordinates, are K at (0.0000, 0.0000, 0.0000), Li at (0.0000, 0.5000, 0.0000), Pu at (0.5000, 0.2576, 0.5000), Br at (0.2380, 0.2829, 0.1672), Br at (0.2800, 0.5000, 0.6478) and Br at (0.2878, 0.0000, 0.6364).



Record 7
KLiPuBr5 | PBE | relaxed

Its total moment is 5.0 μB per formula unit. For the density, the calculation gives 3.91 g cm⁻³. The calculation puts the uncorrected formation energy at -1.58 eV per atom.

The space group is C2/c (No. 15) and the conventional cell measures 9.3640, 12.7567 and 10.6730 Å, with angles of 90.00, 113.35 and 90.00 degrees. The distinct sites, in fractional coordinates, are K at (0.0000, 0.1452, 0.2500), Li at (0.0000, 0.1913, 0.7500), Pu at (0.0000, 0.5000, 0.0000), Br at (0.0000, 0.4112, 0.2500), Br at (0.1210, 0.2996, 0.6176) and Br at (0.1849, 0.0659, 0.9324).



Record 8
KLiPuBr6 | PBE | relaxed

Its total moment is 4.0 μB per formula unit. For the density, the calculation gives 3.91 g cm⁻³. The calculation puts the uncorrected formation energy at -1.46 eV per atom.

The space group is P-31c (No. 163) and the conventional cell measures 7.1714, 7.1714 and 14.6657 Å, with angles of 90.00, 90.00 and 120.00 degrees. The distinct sites, in fractional coordinates, are K at (0.0000, 0.0000, 0.0000), Li at (0.3333, 0.6667, 0.2500), Pu at (0.3333, 0.6667, 0.7500) and Br at (0.0016, 0.3667, 0.6417).



Record 9
K3Rb2LiBr6 | PBE | relaxed

Its total moment is 0.0 μB per formula unit. For the density, the calculation gives 2.88 g cm⁻³. The calculation puts the uncorrected formation energy at -1.67 eV per atom.

The space group is C2/m (No. 12) and the conventional cell measures 8.2101, 14.2310 and 8.0849 Å, with angles of 90.00, 109.20 and 90.00 degrees. The distinct sites, in fractional coordinates, are K at (0.0000, 0.0000, 0.0000), K at (0.0000, 0.3335, 0.0000), Rb at (0.0000, 0.1691, 0.5000), Li at (0.0000, 0.5000, 0.5000), Br at (0.1962, 0.5000, 0.2929) and Br at (0.2487, 0.3417, 0.7596).